# TcAsBr

A geometry-optimized TcAsBr structure (PBE-GGA, Alexandria).

Unit cell a=4.591 b=4.591 c=4.591 alpha=60.00 beta=60.00 gamma=60.00
Positions (direct):
As: 0.750 0.750 0.750
Tc: 0.500 0.500 0.500
Br: 0.000 0.000 0.000

## Properties
raw formation energy = 1.1161 eV/atom
crystal system = cubic
ρ = 6.14 g/cm³
excess energy over the best structure of this formula in the dataset = 970 meV per atom


# Ag3Cl

A geometry-optimized Ag3Cl structure (PBE-GGA, Alexandria).

Unit cell a=6.068 b=5.159 c=9.983 alpha=90.00 beta=90.00 gamma=90.00
Positions (direct):
Ag: 0.119 0.959 0.750
Ag: 0.619 0.541 0.250
Ag: 0.381 0.459 0.750
Ag: 0.881 0.041 0.250
Ag: 0.634 0.269 0.994
Ag: 0.134 0.231 0.006
Ag: 0.866 0.769 0.506
Ag: 0.366 0.731 0.494
Ag: 0.366 0.731 0.006
Ag: 0.866 0.769 0.994
Ag: 0.134 0.231 0.494
Ag: 0.634 0.269 0.506
Cl: 0.579 0.986 0.750
Cl: 0.079 0.514 0.250
Cl: 0.921 0.486 0.750
Cl: 0.421 0.014 0.250

## Properties
raw formation energy = 0.0305 eV/atom
crystal system = orthorhombic
ρ = 7.63 g/cm³
excess energy over the best structure of this formula in the dataset = 132 meV per atom


# Y2ZnGa3Pt4

A geometry-optimized Y2ZnGa3Pt4 structure (PBE-GGA, Alexandria).

Unit cell a=4.081 b=4.081 c=11.190 alpha=90.00 beta=90.00 gamma=90.00
Positions (direct):
Y: 0.500 0.000 0.252
Y: 0.000 0.500 0.748
Zn: 0.500 0.500 0.500
Ga: 0.000 0.000 0.500
Ga: 0.500 0.000 0.865
Ga: 0.000 0.500 0.135
Pt: 0.500 0.500 0.000
Pt: 0.000 0.000 0.000
Pt: 0.500 0.000 0.644
Pt: 0.000 0.500 0.356

## Properties
calculated total energy = -5.668 eV/atom
crystal system = tetragonal
ρ = 10.99 g/cm³